Density functional theory data (PBEsol) for a geometry-optimized LaCd4 structure.

Properties
The calculation puts the energy of formation at -0.282 eV per atom. The value obtained for the density of states at the Fermi level is 0.32 states/eV/atom. For the calculated volume, the calculation gives 23.62 Å³/atom. The space group is No. 139.

a = 5.063 Å, b = 5.456 Å, c = 5.456 Å
α = 77.50°, β = 62.29°, γ = 62.29°
Fractional coordinates of all 5 atoms:
1 La 0.000 0.000 0.000
2 Cd 0.500 0.300 0.700
3 Cd 0.500 0.700 0.300
4 Cd 0.800 0.700 0.700
5 Cd 0.200 0.300 0.300


Density functional theory data (PBEsol) for a geometry-optimized La6Cd7 structure.

Properties
The calculation puts the energy of formation at -0.282 eV per atom. The value obtained for the density of states at the Fermi level is 1.12 states/eV/atom. For the calculated volume, the calculation gives 26.70 Å³/atom. The space group is No. 166.

a = 6.012 Å, b = 6.012 Å, c = 11.620 Å
α = 75.01°, β = 75.01°, γ = 60.00°
Fractional coordinates of all 13 atoms:
1 Cd 0.406 0.906 0.281
2 Cd 0.406 0.406 0.281
3 Cd 0.906 0.406 0.281
4 Cd 0.594 0.094 0.719
5 Cd 0.094 0.594 0.719
6 Cd 0.594 0.594 0.719
7 Cd 0.500 0.500 0.500
8 La 0.948 0.948 0.155
9 La 0.052 0.052 0.845
10 La 0.848 0.848 0.456
11 La 0.152 0.152 0.544
12 La 0.667 0.667 0.998
13 La 0.333 0.333 0.002


Density functional theory data (PBEsol) for a geometry-optimized La3Cd structure.

Properties
The calculation puts the energy of formation at -0.134 eV per atom. The value obtained for the density of states at the Fermi level is 1.09 states/eV/atom. For the calculated volume, the calculation gives 30.16 Å³/atom. The space group is No. 25.

a = 3.622 Å, b = 5.669 Å, c = 5.876 Å
α = 90.00°, β = 90.00°, γ = 90.00°
Fractional coordinates of all 4 atoms:
1 La 0.000 0.500 0.340
2 La 0.500 0.000 0.462
3 La 0.500 0.500 0.890
4 Cd 0.000 0.000 0.975


Density functional theory data (PBEsol) for a geometry-optimized LaCd3 structure.

Properties
The calculation puts the energy of formation at -0.217 eV per atom. The value obtained for the density of states at the Fermi level is 0.94 states/eV/atom. For the calculated volume, the calculation gives 25.39 Å³/atom. The space group is No. 74.

a = 6.445 Å, b = 6.541 Å, c = 9.636 Å
α = 90.00°, β = 90.00°, γ = 90.00°
Fractional coordinates of all 16 atoms:
1 Cd 0.000 0.043 0.750
2 Cd 0.500 0.543 0.250
3 Cd 0.500 0.457 0.750
4 Cd 0.000 0.957 0.250
5 Cd 0.750 0.750 0.017
6 Cd 0.750 0.250 0.983
7 Cd 0.250 0.750 0.483
8 Cd 0.250 0.250 0.517
9 Cd 0.250 0.250 0.983
10 Cd 0.250 0.750 0.017
11 Cd 0.750 0.250 0.517
12 Cd 0.750 0.750 0.483
13 La 0.000 0.544 0.750
14 La 0.500 0.044 0.250
15 La 0.500 0.956 0.750
16 La 0.000 0.456 0.250


Density functional theory data (PBEsol) for a geometry-optimized LaCd structure.

Properties
The calculation puts the energy of formation at -0.041 eV per atom. The value obtained for the density of states at the Fermi level is 1.36 states/eV/atom. For the calculated volume, the calculation gives 31.95 Å³/atom. The space group is No. 194.

a = 5.186 Å, b = 5.186 Å, c = 5.487 Å
α = 90.00°, β = 90.00°, γ = 120.00°
Fractional coordinates of all 4 atoms:
1 Cd 0.000 0.000 0.000
2 Cd 0.000 0.000 0.500
3 La 0.667 0.333 0.750
4 La 0.333 0.667 0.250


Density functional theory data (PBEsol) for a geometry-optimized La5Cd structure.

Properties
The calculation puts the offset from the most stable computed form at 0.196 eV per formula unit. The calculation puts the energy of formation at -0.070 eV per atom. The value obtained for the density of states at the Fermi level is 1.26 states/eV/atom. For the calculated volume, the calculation gives 30.95 Å³/atom. The space group is No. 189.

a = 5.727 Å, b = 6.119 Å, c = 6.119 Å
α = 120.00°, β = 90.00°, γ = 90.00°
Fractional coordinates of all 6 atoms:
1 La 0.000 0.687 0.000
2 La 0.000 0.000 0.687
3 La 0.000 0.313 0.313
4 La 0.500 0.333 0.667
5 La 0.500 0.667 0.333
6 Cd 0.500 0.000 0.000